Compound: ErWO5
Source: the Alexandria database
Functional: PBE with a Hubbard U
Structure: optimized geometry

Cell lengths 12.6787, 5.2922, 6.9386 Å; angles 62.57, 90.00, 90.00 degrees
Each line ends with the local moment (μB).
Sites, in units of the cell vectors:
Er (0.5560, 0.6425, 0.2158)  -0.02
Er (0.4440, 0.3575, 0.7842)  -0.02
Er (0.0560, 0.3575, 0.2842)  -0.02
Er (0.9440, 0.6425, 0.7158)  -0.02
W (0.8626, 0.8810, 0.1567)  -0.04
W (0.1374, 0.1190, 0.8433)  -0.04
W (0.3626, 0.1190, 0.3433)  -0.04
W (0.6374, 0.8810, 0.6567)  -0.04
O (0.9161, 0.5066, 0.4462)  0.64
O (0.0839, 0.4934, 0.5538)  0.64
O (0.4161, 0.4934, 0.0538)  0.64
O (0.5839, 0.5066, 0.9462)  0.64
O (0.4291, 0.9904, 0.1567)  0.16
O (0.5709, 0.0096, 0.8433)  0.16
O (0.9291, 0.0096, 0.3433)  0.16
O (0.0709, 0.9904, 0.6567)  0.16
O (0.9321, 0.6768, 0.0355)  0.02
O (0.0679, 0.3232, 0.9645)  0.02
O (0.4321, 0.3232, 0.4645)  0.02
O (0.5679, 0.6768, 0.5355)  0.02
O (0.7257, 0.7871, 0.2116)  0.04
O (0.2743, 0.2129, 0.7884)  0.04
O (0.2257, 0.2129, 0.2884)  0.04
O (0.7743, 0.7871, 0.7116)  0.04
O (0.1418, 0.7784, 0.0834)  0.04
O (0.8582, 0.2216, 0.9166)  0.04
O (0.6418, 0.2216, 0.4166)  0.04
O (0.3582, 0.7784, 0.5834)  0.04

total DFT energy (no corrections)	-7.538	eV per atom
relative energy among the computed polymorphs	0.0	meV/atom
M_tot	0.145	μB per atom